Ac6La5Nd2 | PBE | relaxed

Unit cell a=3.8056 b=11.5973 c=24.1825 alpha=90.00 beta=90.00 gamma=90.00
With the nearest neighbours (Å) after each atom.
Fractional positions:
La 0.5000 0.0845 0.2480  4 Nd 3.49-3.51, 2 La 3.81, 4 Ac 3.86-3.88
La 0.5000 0.9155 0.7520  4 Nd 3.49-3.51, 2 La 3.81, 4 Ac 3.86-3.88
La 0.5000 0.4155 0.7480  4 Nd 3.49-3.51, 2 La 3.81, 4 Ac 3.86-3.88
La 0.5000 0.6672 0.5036  7 Ac 3.77-3.98, 4 La 3.81-3.88
La 0.5000 0.3328 0.4964  7 Ac 3.77-3.98, 4 La 3.81-3.88
La 0.5000 0.0000 0.5000  6 Ac 3.77-3.78, 4 La 3.81-3.86
La 0.5000 0.1672 0.9964  7 Ac 3.77-3.98, 4 La 3.81-3.88
La 0.5000 0.5845 0.2520  4 Nd 3.49-3.51, 2 La 3.81, 4 Ac 3.86-3.88
La 0.5000 0.5000 0.0000  6 Ac 3.77-3.78, 4 La 3.81-3.86
La 0.5000 0.8328 0.0036  7 Ac 3.77-3.98, 4 La 3.81-3.88
Ac 0.5000 0.3341 0.1343  4 La 3.78-4.07, 2 Nd 3.79, 6 Ac 3.81-4.12
Ac 0.0000 0.9779 0.8884  1 Nd 3.60, 6 La 3.77-3.91, 2 Ac 3.81
Ac 0.0000 0.8576 0.6159  1 Nd 3.55, 4 La 3.77-3.86, 2 Ac 3.81
Ac 0.5000 0.8341 0.3657  4 La 3.78-4.07, 2 Nd 3.79, 6 Ac 3.81-4.12
Ac 0.0000 0.6424 0.1159  1 Nd 3.55, 4 La 3.77-3.86, 2 Ac 3.81
Ac 0.0000 0.4779 0.6116  1 Nd 3.60, 6 La 3.77-3.91, 2 Ac 3.81
Ac 0.5000 0.6659 0.8657  4 La 3.78-4.07, 2 Nd 3.79, 6 Ac 3.81-4.12
Ac 0.0000 0.5221 0.3884  1 Nd 3.60, 6 La 3.77-3.91, 2 Ac 3.81
Ac 0.0000 0.1424 0.3841  1 Nd 3.55, 4 La 3.77-3.86, 2 Ac 3.81
Ac 0.5000 0.1659 0.6343  4 La 3.78-4.07, 2 Nd 3.79, 6 Ac 3.81-4.12
Ac 0.0000 0.3576 0.8841  1 Nd 3.55, 4 La 3.77-3.86, 2 Ac 3.81
Ac 0.0000 0.0221 0.1116  1 Nd 3.60, 6 La 3.77-3.91, 2 Ac 3.81
Nd 0.0000 0.8345 0.2303  4 La 3.49-3.51, 4 Ac 3.55-3.79, 2 Nd 3.81
Nd 0.0000 0.1655 0.7697  4 La 3.49-3.51, 4 Ac 3.55-3.79, 2 Nd 3.81
Nd 0.0000 0.3345 0.2697  4 La 3.49-3.51, 4 Ac 3.55-3.79, 2 Nd 3.81
Nd 0.0000 0.6655 0.7303  4 La 3.49-3.51, 4 Ac 3.55-3.79, 2 Nd 3.81

Output
V	1067	Å³ per cell
formation energy from the elements	115	meV per atom
symmetry	Pbam, No. 55
density	7.297	g cm⁻³